VASP calculation (PBE-GGA) on crystalline ZnIn2Re at its relaxed geometry.

Summary:
Symmetry   F-43m, No. 216
V   74 Å³/cell
Energy of formation from the pure elements   748 meV per atom

Geometry as CIF:
```
data_ZnIn2Re
_chemical_formula_sum 'Zn1 In2 Re1'
_space_group_name_H-M_alt 'P 1'
_space_group_IT_number 1
_space_group_name_Hall 'P 1'
_cell_length_a 4.7120
_cell_length_b 4.7120
_cell_length_c 4.7120
_cell_angle_alpha 60.00
_cell_angle_beta 60.00
_cell_angle_gamma 60.00
loop_
_atom_site_label
_atom_site_type_symbol
_atom_site_fract_x
_atom_site_fract_y
_atom_site_fract_z
In1 In 0.2500 0.2500 0.2500
In2 In 0.0000 0.0000 0.0000
Zn1 Zn 0.7500 0.7500 0.7500
Re1 Re 0.5000 0.5000 0.5000
```